Np2Si3Pt9 after structural relaxation, computed with PBE.

The final energy is -211.60 eV for the cell shown. The volume comes out at 16.6 Å³/atom. As for the space-group type: C2/c.

```
Np2Si3Pt9
1.0
-6.223 4.329 1.181
1.450 -2.759 -7.010
-1.222 -9.414 3.544
Np Si Pt
4 6 18
Direct
0.337 0.241 0.752
0.663 0.759 0.248
0.989 0.586 0.748
0.011 0.414 0.252
0.500 0.000 0.000
0.500 0.500 0.500
0.856 0.180 0.503
0.144 0.820 0.497
0.177 0.353 0.997
0.823 0.647 0.003
0.442 0.918 0.740
0.558 0.082 0.260
0.678 0.702 0.760
0.322 0.298 0.240
0.434 0.633 0.922
0.566 0.367 0.078
0.211 0.512 0.578
0.789 0.488 0.422
0.890 0.140 0.750
0.110 0.860 0.250
0.142 0.991 0.940
0.858 0.009 0.060
0.551 0.202 0.560
0.449 0.798 0.440
0.879 0.859 0.570
0.121 0.141 0.430
0.789 0.309 0.930
0.211 0.691 0.070
```